10
Lattice="-0.087 6.389 -6.565 -0.477 3.056 -8.623 -8.242 -0.477 2.334" Properties=species:S:1:pos:R:3 comment="GGA-PBE Nd2Ho2CI3Cl2, relaxed" polymorph_energy_ev_per_atom=0.024 m_tot_mub_per_cell=0.30 energy_ev_per_atom=-4.938 spacegroup="C2/m, No. 12" pbc="T T T"
C -0.282 4.722 -7.594
Cl -7.005 1.144 -0.525
Cl -1.801 7.823 -12.329
I -4.403 4.483 -6.427
I -5.751 7.553 -11.143
I -3.055 1.414 -1.711
Nd -7.861 2.917 -3.236
Nd -0.945 6.050 -9.619
Ho -6.698 -0.359 1.850
Ho -2.108 9.326 -14.704

10
Lattice="9.316 -1.989 0.000 9.316 1.989 0.000 -1.610 0.000 8.776" Properties=species:S:1:pos:R:3 comment="GGA-PBE Pr2Ho2CI3Cl2, relaxed" polymorph_energy_ev_per_atom=0.000 m_tot_mub_per_cell=0.01 energy_ev_per_atom=-4.961 spacegroup="C2/m, No. 12" pbc="T T T"
Cl 2.464 0.000 2.375
Cl 14.557 0.000 6.401
I 8.510 0.000 4.388
I 15.057 0.000 1.493
I 1.964 0.000 7.282
Pr 18.294 0.000 1.721
Pr -1.273 0.000 7.055
Ho 5.362 0.000 8.254
Ho 11.659 0.000 0.522
C 9.316 0.000 0.000

10
Lattice="-5.229 -6.515 4.588 -2.400 -8.727 2.986 5.340 2.395 6.127" Properties=species:S:1:pos:R:3 comment="GGA-PBE Pr2Ho2CI3Cl2, relaxed" polymorph_energy_ev_per_atom=0.002 m_tot_mub_per_cell=0.31 energy_ev_per_atom=-4.959 spacegroup="C2/m, No. 12" pbc="T T T"
Cl -2.910 -11.435 10.653
Cl 0.621 -1.412 3.048
Pr 2.192 -3.285 8.411
Pr -4.481 -9.562 5.290
Ho 4.310 1.912 4.975
Ho -6.599 -14.759 8.726
C -3.814 -7.621 3.787
I 2.952 -0.686 6.164
I -5.241 -12.161 7.537
I -1.144 -6.423 6.851

> Which formula does entry 2 have?

Pr2Ho2CI3Cl2